# 1
Here is TiOsRuO6 after structural relaxation from Alexandria via LeMat-Bulk. Energies are from PBE-GGA.

## Properties
Energy relative to the elements, uncorrected in eV/atom: -1.547
Total energy in eV/atom: -8.01

Geometry as POSCAR:
```
TiOsRuO6
1.0
4.9641 0.0000 0.0000
-2.4821 4.2991 0.0000
0.0000 0.0000 8.9678
Ti Os Ru O
2 2 2 12
Cartesian
2.4821 1.4330 2.2419 Ti
0.0000 2.8660 6.7258 Ti
0.0000 2.8660 2.2419 Os
2.4821 1.4330 6.7258 Os
0.0000 0.0000 0.0000 Ru
0.0000 0.0000 4.4839 Ru
1.6569 2.8660 1.1340 O
4.1356 1.4312 1.1340 O
-0.8284 4.2972 5.6179 O
-1.6536 2.8679 7.8338 O
0.8285 1.4312 3.3499 O
3.3073 2.8660 3.3499 O
0.8284 4.2972 7.8338 O
3.3104 0.0019 3.3499 O
-0.8252 1.4331 5.6179 O
1.6537 0.0019 1.1340 O
1.6536 2.8679 5.6179 O
0.8252 1.4331 7.8338 O
```

# 2
Here is TlOs2RuO8 after structural relaxation from Alexandria via LeMat-Bulk. Energies are from PBE-GGA.

## Properties
Energy relative to the elements, uncorrected in eV/atom: -0.804
Total energy in eV/atom: -6.95

Geometry as POSCAR:
```
TlOs2RuO8
1.0
5.2293 0.0000 0.0000
-2.6146 4.5287 0.0000
0.0000 0.0000 8.7602
Tl Os Ru O
1 2 1 8
Cartesian
0.0000 0.0000 0.0000 Tl
2.6146 1.5096 2.5308 Os
0.0000 3.0191 6.2294 Os
0.0000 0.0000 4.3801 Ru
0.0000 3.0191 8.0060 O
0.9279 1.3362 3.1996 O
3.6082 0.1354 3.1996 O
2.6146 1.5096 0.7543 O
-0.9935 4.3932 5.5606 O
1.6868 3.1925 5.5606 O
-0.6933 1.4717 5.5606 O
3.3079 3.0570 3.1996 O
```

# 3
Here is Tl2OsRuO6 after structural relaxation from Alexandria via LeMat-Bulk. Energies are from PBE-GGA.

## Properties
Energy relative to the elements, uncorrected in eV/atom: -0.725
Total energy in eV/atom: -6.22

Geometry as POSCAR:
```
Tl2OsRuO6
1.0
-1.6557 1.9548 -3.0686
-2.2277 -4.8326 -1.8765
-4.6275 0.9329 3.0911
Tl Os Ru O
2 1 1 6
Cartesian
-1.3535 -2.1334 -1.3824 Tl
-2.5534 0.7494 1.1014 Tl
-4.4951 -0.6896 -1.3711 Os
-1.0674 1.2602 -1.9783 Ru
-2.8238 0.2609 -1.6669 O
-5.0799 0.7157 -0.1599 O
-3.6672 -1.6671 0.1633 O
-0.2395 0.2828 -0.4440 O
-6.1660 -1.6404 -1.0748 O
-3.9099 -2.0952 -2.5818 O
```

# 4
Here is TlOsRu2O8 after structural relaxation from Alexandria via LeMat-Bulk. Energies are from PBE-GGA.

## Properties
Energy relative to the elements, uncorrected in eV/atom: -0.857
Total energy in eV/atom: -6.84

Geometry as POSCAR:
```
TlOsRu2O8
1.0
4.6936 0.0082 -0.0030
0.0454 4.6931 -0.0052
0.0041 0.0071 6.4617
Tl Os Ru O
1 1 2 8
Cartesian
0.0020 0.0035 3.2308 Tl
0.0000 0.0000 0.0000 Os
2.3726 2.3560 4.8888 Ru
2.3705 2.3524 1.5645 Ru
0.9980 3.7357 1.3843 O
3.3337 3.3071 -0.0058 O
3.7429 0.9688 1.3856 O
3.7451 0.9727 5.0691 O
1.4095 1.4013 6.4592 O
1.0002 3.7397 5.0678 O
3.1827 3.1566 3.2253 O
1.5604 1.5519 3.2281 O
```

# 5
Here is OsS2O after structural relaxation from Alexandria via LeMat-Bulk. Energies are from PBE-GGA.

## Properties
Energy relative to the elements, uncorrected in eV/atom: 0.852
Total energy in eV/atom: -5.26

Geometry as POSCAR:
```
OsS2O
1.0
5.1146 4.5740 3.7024
6.8593 2.4833 2.7518
6.1561 4.6757 1.0147
S Os O
2 1 1
Cartesian
16.3686 10.5931 6.7432 S
1.7614 1.1399 0.7256 S
0.0000 0.0000 0.0000 Os
9.0650 5.8665 3.7344 O
```

# 6
Here is OsS2O after structural relaxation from Alexandria via LeMat-Bulk. Energies are from PBE-GGA.

## Properties
Energy relative to the elements, uncorrected in eV/atom: -0.048
Total energy in eV/atom: -6.16

Geometry as POSCAR:
```
OsS2O
1.0
2.1215 0.0000 5.4962
-1.0607 1.8373 5.4962
-1.0607 -1.8373 5.4962
S Os O
2 1 1
Cartesian
0.0000 0.0000 14.7941 S
0.0000 0.0000 1.6944 S
0.0000 0.0000 8.2442 Os
0.0000 0.0000 0.0000 O
```